A plane-wave DFT calculation with PBE was carried out for crystalline RbEuTe2 at its relaxed geometry.

volume: 143.1 Å³ per cell
M_tot: 1.580 μB per atom
density of states at the Fermi level: 1.05 states/eV per atom
E_form (uncorrected): -1148.4 meV/atom
space-group type: P4/mmm (123)

a = 4.0477 Å, b = 4.0477 Å, c = 8.7322 Å
α = 90.00°, β = 90.00°, γ = 90.00°
Site moments in Bohr magnetons follow the coordinates.
Fractional positions:
Eu 0.5000 0.5000 0.0000  6.71
Te 0.0000 0.0000 0.7896  -0.15
Te 0.0000 0.0000 0.2104  -0.15
Rb 0.5000 0.5000 0.5000  -0.01